Version a
Density functional theory data (PBE-GGA) for an optimized crystal structure of BaTaTc3.

The space group is Pm-3m (No. 221) and the conventional cell measures 4.9387, 4.9387 and 4.9387 Å, with angles of 90.00, 90.00 and 90.00 degrees. The asymmetric unit holds Ba at (0.0000, 0.0000, 0.0000), Ta at (0.5000, 0.5000, 0.5000) and Tc at (0.0000, 0.5000, 0.5000).

Version b
Density functional theory data (PBE-GGA) for an optimized crystal structure of BaTaTc3.

The space group is Pm-3m (No. 221) and the conventional cell measures 4.8339, 4.8339 and 4.8339 Å, with angles of 90.00, 90.00 and 90.00 degrees. The asymmetric unit holds Ba at (0.0000, 0.0000, 0.0000), Ta at (0.5000, 0.5000, 0.5000) and Tc at (0.0000, 0.0000, 0.5000).

In order of decreasing stability: version a, version b.

Version a
Density functional theory data (PBE-GGA) for an optimized crystal structure of BaTaZn2Te.

The space group is P4/mmm (No. 123) and the conventional cell measures 5.8145, 5.8145 and 6.3112 Å, with angles of 90.00, 90.00 and 90.00 degrees. The asymmetric unit holds Ba at (0.0000, 0.0000, 0.0000), Ta at (0.5000, 0.5000, 0.5000), Zn at (0.0000, 0.5000, 0.0000) and Te at (0.0000, 0.0000, 0.5000).

Version b
Density functional theory data (PBE-GGA) for an optimized crystal structure of BaTaZn2Te.

The space group is P4/mmm (No. 123) and the conventional cell measures 5.2079, 5.2079 and 5.2996 Å, with angles of 90.00, 90.00 and 90.00 degrees. The asymmetric unit holds Ba at (0.0000, 0.0000, 0.0000), Ta at (0.5000, 0.5000, 0.5000), Zn at (0.0000, 0.5000, 0.5000) and Te at (0.5000, 0.5000, 0.0000).

In order of decreasing stability: version b, version a.

Version a
Density functional theory data (PBE-GGA) for an optimized crystal structure of BaTa2Ti.

The space group is Fm-3m (No. 225) and the conventional cell measures 7.0127, 7.0127 and 7.0127 Å, with angles of 90.00, 90.00 and 90.00 degrees. The asymmetric unit holds Ba at (0.0000, 0.0000, 0.0000), Ta at (0.2500, 0.2500, 0.2500) and Ti at (0.0000, 0.0000, 0.5000).

Version b
Density functional theory data (PBE-GGA) for an optimized crystal structure of BaTa2Ti.

The space group is I4_1/amd (No. 141, origin choice 2) and the conventional cell measures 5.1154, 5.1154 and 19.2176 Å, with angles of 90.00, 90.00 and 90.00 degrees. The asymmetric unit holds Ba at (0.0000, 0.2500, 0.3750), Ta at (0.0000, 0.0000, 0.0000) and Ti at (0.0000, 0.2500, 0.8750).

In order of decreasing stability: version a, version b.

Version a
Density functional theory data (PBE-GGA) for an optimized crystal structure of BaTa3Ti.

The space group is Pm-3m (No. 221) and the conventional cell measures 4.9726, 4.9726 and 4.9726 Å, with angles of 90.00, 90.00 and 90.00 degrees. The asymmetric unit holds Ba at (0.0000, 0.0000, 0.0000), Ta at (0.0000, 0.5000, 0.5000) and Ti at (0.5000, 0.5000, 0.5000).

Version b
Density functional theory data (PBE-GGA) for an optimized crystal structure of BaTa3Ti.

The space group is Pm-3m (No. 221) and the conventional cell measures 5.0372, 5.0372 and 5.0372 Å, with angles of 90.00, 90.00 and 90.00 degrees. The asymmetric unit holds Ba at (0.0000, 0.0000, 0.0000), Ta at (0.0000, 0.0000, 0.5000) and Ti at (0.5000, 0.5000, 0.5000).

In order of decreasing stability: version a, version b.

Version a
Density functional theory data (PBE-GGA) for an optimized crystal structure of BaTaTi2.

The space group is Fm-3m (No. 225) and the conventional cell measures 7.0292, 7.0292 and 7.0292 Å, with angles of 90.00, 90.00 and 90.00 degrees. The asymmetric unit holds Ba at (0.0000, 0.0000, 0.0000), Ta at (0.0000, 0.0000, 0.5000) and Ti at (0.2500, 0.2500, 0.2500).

Version b
Density functional theory data (PBE-GGA) for an optimized crystal structure of BaTaTi2.

The space group is I4_1/amd (No. 141, origin choice 2) and the conventional cell measures 5.3227, 5.3227 and 17.8866 Å, with angles of 90.00, 90.00 and 90.00 degrees. The asymmetric unit holds Ba at (0.0000, 0.2500, 0.3750), Ta at (0.0000, 0.2500, 0.8750) and Ti at (0.0000, 0.0000, 0.0000).

In order of decreasing stability: version a, version b.

Version a
Density functional theory data (PBE-GGA) for an optimized crystal structure of Ba2TaTi.

The space group is Fm-3m (No. 225) and the conventional cell measures 7.7674, 7.7674 and 7.7674 Å, with angles of 90.00, 90.00 and 90.00 degrees. The asymmetric unit holds Ba at (0.2500, 0.2500, 0.2500), Ta at (0.0000, 0.0000, 0.0000) and Ti at (0.0000, 0.0000, 0.5000).

Version b
Density functional theory data (PBE-GGA) for an optimized crystal structure of Ba2TaTi.

The space group is I-42d (No. 122) and the conventional cell measures 9.1286, 9.1286 and 6.2798 Å, with angles of 90.00, 90.00 and 90.00 degrees. The asymmetric unit holds Ba at (0.2364, 0.7500, 0.1250), Ta at (0.0000, 0.0000, 0.0000) and Ti at (0.0000, 0.0000, 0.5000).

In order of decreasing stability: version a, version b.